Entry 1:
Density functional theory data (meta-GGA SCAN) for a PBEsol-optimized structure of Sr3Ca.

Lattice parameters (Å, degrees): 9.159 9.159 9.159 90.00 90.00 90.00
Atoms (fractional coordinates):
Sr (0.000, 0.000, 0.000)
Sr (0.000, 0.500, 0.500)
Sr (0.250, 0.250, 0.250)
Sr (0.250, 0.250, 0.750)
Sr (0.250, 0.750, 0.250)
Sr (0.250, 0.750, 0.750)
Sr (0.500, 0.000, 0.500)
Sr (0.500, 0.500, 0.000)
Sr (0.750, 0.250, 0.250)
Sr (0.750, 0.250, 0.750)
Sr (0.750, 0.750, 0.250)
Sr (0.750, 0.750, 0.750)
Ca (0.000, 0.000, 0.500)
Ca (0.000, 0.500, 0.000)
Ca (0.500, 0.000, 0.000)
Ca (0.500, 0.500, 0.500)

## Properties
Symmetry   Fm-3m, No. 225
Raw total energy   -19.080 eV/atom

Entry 2:
Density functional theory data (meta-GGA SCAN) for a PBEsol-optimized structure of SrCa.

Lattice parameters (Å, degrees): 4.019 4.019 13.224 90.00 90.00 120.00
Atoms (fractional coordinates):
Sr (0.333, 0.667, 0.132)
Sr (0.667, 0.333, 0.868)
Ca (0.333, 0.667, 0.618)
Ca (0.667, 0.333, 0.382)

## Properties
Energy above the most stable polymorph in this dataset   1.4 kJ/mol of atoms
Symmetry   P-3m1, No. 164
Raw total energy   -15.942 eV/atom

Entry 3:
Density functional theory data (meta-GGA SCAN) for a PBEsol-optimized structure of SrCa.

Lattice parameters (Å, degrees): 4.018 4.018 6.610 90.00 90.00 120.00
Atoms (fractional coordinates):
Sr (0.000, 0.000, 0.000)
Ca (0.667, 0.333, 0.500)

## Properties
Energy above the most stable polymorph in this dataset   1.8 kJ/mol of atoms
Symmetry   P-6m2, No. 187
Raw total energy   -15.938 eV/atom

> Which formula does entry 2 have?

SrCa